# Tb3Al2Ni6

A relaxed Tb3Al2Ni6 crystal (GGA-PBE, Alexandria via LeMat-Bulk).

Calculated values
formation energy from the elements: -0.552 eV/atom
total DFT energy (no corrections): -5.65 eV per atom
total moment: 0.00 μB per atom

Lattice parameters (Å, degrees): 8.9451 8.9451 8.9451 90.00 90.00 90.00
Closest atoms and distances in Å follow each position.
Space group Im-3m (No. 229)
Asymmetric unit:
1 Tb 0.0000 0.0000 0.2927  8 Ni 2.80-3.01
2 Al 0.2500 0.2500 0.2500  6 Ni 2.48
3 Ni 0.0000 0.3341 0.3341  2 Al 2.48, 4 Ni 2.58

# Cd2Ga3

A relaxed Cd2Ga3 crystal (GGA-PBE, Alexandria via LeMat-Bulk).

Calculated values
formation energy from the elements: 0.121 eV/atom
total DFT energy (no corrections): -2.06 eV per atom
total moment: 0.00 μB per atom

Lattice parameters (Å, degrees): 8.0995 8.0995 11.7250 90.00 90.00 120.00
Closest atoms and distances in Å follow each position.
Space group R-3c (No. 167, hexagonal axes)
Asymmetric unit:
1 Cd 0.0000 0.0000 0.1231  6 Ga 2.82-2.95, 2 Cd 2.89-2.98
2 Ga 0.0000 0.3150 0.2500  4 Cd 2.82-2.95

Repeat the second record exactly.
# Cd2Ga3

A relaxed Cd2Ga3 crystal (GGA-PBE, Alexandria via LeMat-Bulk).

Calculated values
formation energy from the elements: 0.121 eV/atom
total DFT energy (no corrections): -2.06 eV per atom
total moment: 0.00 μB per atom

Lattice parameters (Å, degrees): 8.0995 8.0995 11.7250 90.00 90.00 120.00
Closest atoms and distances in Å follow each position.
Space group R-3c (No. 167, hexagonal axes)
Asymmetric unit:
1 Cd 0.0000 0.0000 0.1231  6 Ga 2.82-2.95, 2 Cd 2.89-2.98
2 Ga 0.0000 0.3150 0.2500  4 Cd 2.82-2.95

Question: Among the records above, which one has the lowest total DFT energy (no corrections)?
Answer: Tb3Al2Ni6

Question: Look up the formation energy from the elements of the first one.
Answer: -0.552 eV/atom

Question: Which of these has the lowest formation energy from the elements?
Answer: Tb3Al2Ni6